[1]
VASP calculation (GGA-PBE) on a relaxed TiTc3N crystal.

Calculated values
* formation energy without anion corrections: 2.612 eV/atom
* excess energy over the best structure of this formula in the dataset: 2845 meV/atom
* DFT total energy: -0.5036 Ry/atom

a = 4.4885 Å, b = 4.4885 Å, c = 4.4885 Å
α = 90.00°, β = 90.00°, γ = 90.00°
Space group Pm-3m (No. 221)
Inequivalent atoms, fractional coordinates:
Ti1 0.0000 0.0000 0.0000 x1
Tc1 0.0000 0.0000 0.5000 x3
N1 0.5000 0.5000 0.5000 x1

[2]
VASP calculation (GGA-PBE) on a relaxed ScTc2Hg crystal.

Calculated values
* calculated formation energy: 0.273 eV per atom
* DFT total energy: -0.4828 Ry/atom

a = 3.9400 Å, b = 3.9400 Å, c = 8.9570 Å
α = 90.00°, β = 90.00°, γ = 90.00°
Space group I4/mmm (No. 139)
Inequivalent atoms, fractional coordinates:
Sc1 0.0000 0.0000 0.0000 x2
Tc1 0.0000 0.5000 0.2500 x4
Hg1 0.0000 0.0000 0.5000 x2

[3]
VASP calculation (GGA-PBE) on a relaxed KBaLa2Rh crystal.

Calculated values
* calculated formation energy: -0.133 eV per atom
* DFT total energy: -0.3071 Ry/atom

a = 5.6718 Å, b = 5.6718 Å, c = 6.6157 Å
α = 90.00°, β = 90.00°, γ = 90.00°
Space group P4/mmm (No. 123)
Inequivalent atoms, fractional coordinates:
K1 0.0000 0.0000 0.0000 x1
Ba1 0.5000 0.5000 0.0000 x1
La1 0.0000 0.5000 0.5000 x2
Rh1 0.5000 0.5000 0.5000 x1

[4]
VASP calculation (GGA-PBE) on a relaxed ScTiNiPd crystal.

Calculated values
* calculated formation energy: -0.506 eV per atom
* DFT total energy: -0.5002 Ry/atom

a = 6.3458 Å, b = 6.3458 Å, c = 6.3458 Å
α = 90.00°, β = 90.00°, γ = 90.00°
Space group F-43m (No. 216)
Inequivalent atoms, fractional coordinates:
Sc1 0.0000 0.0000 0.0000 x4
Ti1 0.0000 0.0000 0.5000 x4
Ni1 0.2500 0.2500 0.7500 x4
Pd1 0.2500 0.2500 0.2500 x4

[5]
VASP calculation (GGA-PBE) on a relaxed LiCa4Sm3S8 crystal.

Calculated values
* formation energy without anion corrections: -2.022 eV/atom
* DFT total energy: -0.4109 Ry/atom

a = 7.9900 Å, b = 7.9900 Å, c = 19.7042 Å
α = 90.00°, β = 90.00°, γ = 120.00°
Space group R-3m (No. 166, hexagonal axes)
Inequivalent atoms, fractional coordinates:
Li1 0.0000 0.0000 0.0000 x3
Ca1 0.0000 0.0000 0.5000 x3
Ca2 0.0000 0.5000 0.5000 x9
Sm1 0.0000 0.5000 0.0000 x9
S1 0.0000 0.0000 0.2496 x6
S2 0.0018 0.5009 0.7490 x18

[6]
VASP calculation (GGA-PBE) on a relaxed SrZrRh2 crystal.

Calculated values
* calculated formation energy: 0.127 eV per atom
* DFT total energy: -0.4488 Ry/atom

a = 6.7447 Å, b = 6.7447 Å, c = 6.7447 Å
α = 90.00°, β = 90.00°, γ = 90.00°
Space group F-43m (No. 216)
Inequivalent atoms, fractional coordinates:
Sr1 0.0000 0.0000 0.0000 x4
Zr1 0.2500 0.2500 0.2500 x4
Rh1 0.0000 0.0000 0.5000 x4
Rh2 0.2500 0.2500 0.7500 x4

[7]
VASP calculation (GGA-PBE) on a relaxed CsCaSn2Se crystal.

Calculated values
* formation energy without anion corrections: 0.455 eV/atom
* DFT total energy: -0.1774 Ry/atom

a = 5.8478 Å, b = 5.8478 Å, c = 6.7087 Å
α = 90.00°, β = 90.00°, γ = 90.00°
Space group P4/mmm (No. 123)
Inequivalent atoms, fractional coordinates:
Cs1 0.0000 0.0000 0.0000 x1
Ca1 0.0000 0.0000 0.5000 x1
Sn1 0.0000 0.5000 0.5000 x2
Se1 0.5000 0.5000 0.0000 x1

[8]
VASP calculation (GGA-PBE) on a relaxed Ag17Pd12 crystal.

Calculated values
* calculated formation energy: 0.005 eV per atom
* DFT total energy: -0.2804 Ry/atom

a = 9.9861 Å, b = 9.9861 Å, c = 9.9861 Å
α = 90.00°, β = 90.00°, γ = 90.00°
Space group I-43m (No. 217)
Inequivalent atoms, fractional coordinates:
Ag1 0.0000 0.0000 0.0000 x2
Ag2 0.0480 0.3612 0.6388 x24
Ag3 0.1732 0.1732 0.1732 x8
Pd1 0.0929 0.0929 0.7177 x24

[9]
VASP calculation (GGA-PBE) on a relaxed CsBaCo2Cl8 crystal.

Calculated values
* formation energy without anion corrections: -1.307 eV/atom
* DFT total energy: -0.2906 Ry/atom

a = 6.8044 Å, b = 6.8044 Å, c = 29.8514 Å
α = 90.00°, β = 90.00°, γ = 120.00°
Space group R-3 (No. 148, hexagonal axes)
Inequivalent atoms, fractional coordinates:
Cs1 0.0000 0.0000 0.0000 x3
Ba1 0.0000 0.0000 0.5000 x3
Co1 0.0000 0.0000 0.2535 x6
Cl1 0.0000 0.0000 0.3265 x6
Cl2 0.0089 0.6319 0.4384 x18

[10]
VASP calculation (GGA-PBE) on a relaxed Nd6Tm2Cd crystal.

Calculated values
* calculated formation energy: -0.011 eV per atom
* excess energy over the best structure of this formula in the dataset: 18 meV/atom
* DFT total energy: -0.3149 Ry/atom

a = 10.7118 Å, b = 10.7118 Å, c = 5.1030 Å
α = 90.00°, β = 90.00°, γ = 90.00°
Space group P4_2/mnm (No. 136)
Inequivalent atoms, fractional coordinates:
Nd1 0.0039 0.3306 0.0000 x8
Nd2 0.1553 0.8447 0.5000 x4
Tm1 0.1727 0.1727 0.5000 x4
Cd1 0.0000 0.0000 0.0000 x2

[11]
VASP calculation (GGA-PBE) on a relaxed Cs2PaO4 crystal.

Calculated values
* formation energy without anion corrections: -2.478 eV/atom
* DFT total energy: -0.5080 Ry/atom

a = 4.5095 Å, b = 4.5095 Å, c = 15.1355 Å
α = 90.00°, β = 90.00°, γ = 90.00°
Space group I4/mmm (No. 139)
Inequivalent atoms, fractional coordinates:
Cs1 0.0000 0.0000 0.1545 x4
Pa1 0.0000 0.0000 0.5000 x2
O1 0.0000 0.0000 0.3669 x4
O2 0.0000 0.5000 0.0000 x4

[12]
VASP calculation (GGA-PBE) on a relaxed CaTi2Pd2 crystal.

Calculated values
* calculated formation energy: -0.304 eV per atom
* excess energy over the best structure of this formula in the dataset: 74 meV/atom
* DFT total energy: -0.4365 Ry/atom

a = 7.9228 Å, b = 7.9228 Å, c = 2.9563 Å
α = 90.00°, β = 90.00°, γ = 90.00°
Space group P4/mbm (No. 127)
Inequivalent atoms, fractional coordinates:
Ca1 0.0000 0.0000 0.0000 x2
Ti1 0.1558 0.3442 0.5000 x4
Pd1 0.1348 0.6348 0.0000 x4

[13]
VASP calculation (GGA-PBE) on a relaxed Sr2Ac3PaN6 crystal.

Calculated values
* formation energy without anion corrections: -1.149 eV/atom
* DFT total energy: -0.5446 Ry/atom

a = 6.5882 Å, b = 11.4498 Å, c = 6.5401 Å
α = 90.00°, β = 109.05°, γ = 90.00°
Space group C2/m (No. 12)
Inequivalent atoms, fractional coordinates:
Sr1 0.0000 0.1672 0.0000 x4
Ac1 0.0000 0.0000 0.5000 x2
Ac2 0.0000 0.3368 0.5000 x4
Pa1 0.0000 0.5000 0.0000 x2
N1 0.2128 0.5000 0.7481 x4
N2 0.2164 0.3599 0.2308 x8

[14]
VASP calculation (GGA-PBE) on a relaxed MgBiOs3 crystal.

Calculated values
* calculated formation energy: 2.124 eV per atom
* excess energy over the best structure of this formula in the dataset: 0 meV/atom
* DFT total energy: -0.4196 Ry/atom

a = 4.5889 Å, b = 4.5889 Å, c = 4.5889 Å
α = 90.00°, β = 90.00°, γ = 90.00°
Space group Pm-3m (No. 221)
Inequivalent atoms, fractional coordinates:
Mg1 0.0000 0.0000 0.0000 x1
Bi1 0.5000 0.5000 0.5000 x1
Os1 0.0000 0.0000 0.5000 x3

[15]
VASP calculation (GGA-PBE) on a relaxed ErMgNb crystal.

Calculated values
* calculated formation energy: 0.176 eV per atom
* DFT total energy: -0.3846 Ry/atom

a = 4.0078 Å, b = 14.6465 Å, c = 4.6612 Å
α = 90.00°, β = 90.00°, γ = 90.00°
Space group Cmcm (No. 63)
Inequivalent atoms, fractional coordinates:
Er1 0.0000 0.0928 0.2500 x4
Mg1 0.0000 0.4038 0.2500 x4
Nb1 0.0000 0.2460 0.7500 x4

[16]
VASP calculation (GGA-PBE) on a relaxed KCI2O crystal.

Calculated values
* formation energy without anion corrections: 1.877 eV/atom
* excess energy over the best structure of this formula in the dataset: 1446 meV/atom
* DFT total energy: -0.1322 Ry/atom

a = 6.4101 Å, b = 6.4101 Å, c = 4.6174 Å
α = 90.00°, β = 90.00°, γ = 90.00°
Space group P4/mmm (No. 123)
Inequivalent atoms, fractional coordinates:
K1 0.0000 0.0000 0.0000 x1
C1 0.5000 0.5000 0.5000 x1
I1 0.0000 0.5000 0.0000 x2
O1 0.0000 0.0000 0.5000 x1

[17]
VASP calculation (GGA-PBE) on a relaxed Cs3SnSe crystal.

Calculated values
* formation energy without anion corrections: -0.387 eV/atom
* excess energy over the best structure of this formula in the dataset: 0 meV/atom
* DFT total energy: -0.1762 Ry/atom

a = 6.9493 Å, b = 6.9493 Å, c = 6.9493 Å
α = 90.00°, β = 90.00°, γ = 90.00°
Space group Pm-3m (No. 221)
Inequivalent atoms, fractional coordinates:
Cs1 0.0000 0.0000 0.5000 x3
Sn1 0.5000 0.5000 0.5000 x1
Se1 0.0000 0.0000 0.0000 x1

[18]
VASP calculation (GGA-PBE) on a relaxed CeAl2InPt4 crystal.

Calculated values
* calculated formation energy: -0.861 eV per atom
* DFT total energy: -0.4337 Ry/atom

a = 4.2820 Å, b = 4.2820 Å, c = 28.3300 Å
α = 90.00°, β = 90.00°, γ = 120.00°
Space group R-3m (No. 166, hexagonal axes)
Inequivalent atoms, fractional coordinates:
Ce1 0.0000 0.0000 0.0000 x3
Al1 0.0000 0.0000 0.2469 x6
In1 0.0000 0.0000 0.5000 x3
Pt1 0.0000 0.0000 0.1166 x6
Pt2 0.0000 0.0000 0.3962 x6

[19]
VASP calculation (GGA-PBE) on a relaxed Ce2PmReN5 crystal.

Calculated values
* formation energy without anion corrections: -1.056 eV/atom
* DFT total energy: -0.6549 Ry/atom

a = 6.6598 Å, b = 6.6598 Å, c = 11.5866 Å
α = 90.00°, β = 90.00°, γ = 90.00°
Space group I4/mcm (No. 140)
Inequivalent atoms, fractional coordinates:
Ce1 0.1740 0.3260 0.0000 x8
Pm1 0.0000 0.0000 0.2500 x4
Re1 0.0000 0.5000 0.2500 x4
N1 0.0000 0.0000 0.0000 x4
N2 0.1515 0.3485 0.3561 x16

[20]
VASP calculation (GGA-PBE) on a relaxed AcEu2Au crystal.

Calculated values
* calculated formation energy: -0.222 eV per atom
* excess energy over the best structure of this formula in the dataset: 153 meV/atom
* DFT total energy: -0.5296 Ry/atom

a = 4.7558 Å, b = 4.7558 Å, c = 5.7712 Å
α = 90.00°, β = 90.00°, γ = 90.00°
Space group P4/mmm (No. 123)
Inequivalent atoms, fractional coordinates:
Ac1 0.0000 0.0000 0.0000 x1
Eu1 0.0000 0.5000 0.5000 x2
Au1 0.5000 0.5000 0.0000 x1

[21]
VASP calculation (GGA-PBE) on a relaxed HfGeTe3 crystal.

Calculated values
* formation energy without anion corrections: 0.582 eV/atom
* excess energy over the best structure of this formula in the dataset: 1094 meV/atom
* DFT total energy: -0.3100 Ry/atom

a = 5.2768 Å, b = 5.2768 Å, c = 5.2768 Å
α = 90.00°, β = 90.00°, γ = 90.00°
Space group Pm-3m (No. 221)
Inequivalent atoms, fractional coordinates:
Hf1 0.0000 0.0000 0.0000 x1
Ge1 0.5000 0.5000 0.5000 x1
Te1 0.0000 0.5000 0.5000 x3

[22]
VASP calculation (GGA-PBE) on a relaxed Tm4GaAgAu2 crystal.

Calculated values
* calculated formation energy: -0.670 eV per atom
* DFT total energy: -0.3278 Ry/atom

a = 5.0281 Å, b = 5.0281 Å, c = 24.6981 Å
α = 90.00°, β = 90.00°, γ = 120.00°
Space group R-3m (No. 166, hexagonal axes)
Inequivalent atoms, fractional coordinates:
Tm1 0.0000 0.0000 0.1242 x6
Tm2 0.0000 0.0000 0.3743 x6
Ga1 0.0000 0.0000 0.0000 x3
Ag1 0.0000 0.0000 0.5000 x3
Au1 0.0000 0.0000 0.2493 x6

[23]
VASP calculation (GGA-PBE) on a relaxed Ca4InPb7 crystal.

Calculated values
* calculated formation energy: -0.198 eV per atom
* DFT total energy: -0.2394 Ry/atom

a = 13.1384 Å, b = 5.8665 Å, c = 11.8051 Å
α = 90.00°, β = 119.11°, γ = 90.00°
Space group C2/m (No. 12)
Inequivalent atoms, fractional coordinates:
Ca1 0.0889 0.0000 0.2719 x4
Ca2 0.2339 0.0000 0.8126 x4
In1 0.0000 0.5000 0.5000 x2
Pb1 0.0000 0.0000 0.5000 x2
Pb2 0.0751 0.5000 0.8363 x4
Pb3 0.1325 0.0000 0.0185 x4
Pb4 0.2087 0.5000 0.4279 x4

[24]
VASP calculation (GGA-PBE) on a relaxed TcP2Au crystal.

Calculated values
* calculated formation energy: 0.156 eV per atom
* excess energy over the best structure of this formula in the dataset: 309 meV/atom
* DFT total energy: -0.4380 Ry/atom

a = 3.1258 Å, b = 3.1258 Å, c = 21.7716 Å
α = 90.00°, β = 90.00°, γ = 120.00°
Space group R3m (No. 160, hexagonal axes)
Inequivalent atoms, fractional coordinates:
Tc1 0.0000 0.0000 0.0000 x3
P1 0.0000 0.0000 0.2630 x3
P2 0.0000 0.0000 0.5188 x3
Au1 0.0000 0.0000 0.7720 x3